UAgAsO5: relaxed, PBE-GGA.

```
16
Lattice="6.2418 0.4499 -0.1749 -1.3917 6.1013 -0.1749 -2.2523 -3.0422 7.5578" Properties=species:S:1:pos:R:3 pbc="T T T"
O 2.8202 3.1779 2.3954
O -0.8055 3.6827 3.6170
O 3.4033 -0.1737 3.5910
O 1.0901 2.1039 6.1743
O 5.5398 -0.2078 1.7146
O 4.8835 1.8257 -0.1619
O -2.2858 1.6832 7.3699
O -2.9420 3.7167 5.4935
O 1.5077 1.4050 1.0337
O -0.2224 0.3310 4.8126
As 3.1087 1.5920 1.7146
As -0.5109 1.9169 5.4935
U -1.1261 -1.5211 3.7789
U 0.0000 0.0000 0.0000
Ag 0.4637 3.5502 1.7146
Ag 2.1341 -0.0412 5.4935
```

Summary:
Energy relative to the elements, uncorrected (eV per formula unit): -14.86
Total magnetic moment (μB per cell): 0.0
Mass density (g/cm³): 5.8
Electronic total energy (eV per atom): -7.305